DFT (PBEsol) results for a geometry-optimized HIrRu3 structure.

Structure (extended XYZ):
```
5
Lattice="3.825 0.000 0.000 0.000 3.825 0.000 0.000 0.000 3.825" Properties=species:S:1:pos:R:3 pbc="T T T"
H 0.000 0.000 0.000
Ir 1.913 1.913 1.913
Ru 0.000 0.000 1.913
Ru 0.000 1.913 0.000
Ru 1.913 0.000 0.000
```

Results
DOS at the Fermi energy, states/eV per atom: 0.811
M_tot, μB per formula unit: 0.0
DFT total energy, eV per atom: -8.68